# 1
Computed, not measured: an optimized crystal structure of AlTlO3 at the PBE-GGA level of DFT.

Cell: 3.8348 3.8348 3.8348 Å, 85.55 85.55 85.55°
With the nearest neighbours (Å) after each atom.
Fractional coordinates of all 5 atoms:
Al  0.0000  0.0000  0.0000  6 O 1.91-1.99
Tl  0.5524  0.5524  0.5524  6 O 2.32-2.43
O  0.0471  0.4918  0.9176  2 Al 1.91-1.99
O  0.4918  0.9176  0.0471  2 Al 1.91-1.99
O  0.9176  0.0471  0.4918  2 Al 1.91-1.99

Calculated values
* SG: R3 (146)
* energy relative to the elements, uncorrected: -1.579 eV/atom



# 2
Computed, not measured: an optimized crystal structure of Co3ReSn at the PBE-GGA level of DFT.

Cell: 4.5109 4.5109 4.5109 Å, 90.00 90.00 90.00°
With the nearest neighbours (Å) after each atom.
Fractional coordinates of all 5 atoms:
Co  0.0000  0.0000  0.5000  2 Sn 2.26
Co  0.0000  0.5000  0.0000  2 Sn 2.26
Co  0.5000  0.0000  0.0000  2 Sn 2.26
Re  0.5000  0.5000  0.5000  12 Co 3.19
Sn  0.0000  0.0000  0.0000  6 Co 2.26

Calculated values
* calculated formation energy: 1.982 eV per atom
* SG: Pm-3m (221)



# 3
Computed, not measured: an optimized crystal structure of Pr3TmIn3 at the PBE-GGA level of DFT.

Cell: 6.8162 6.8162 9.8185 Å, 91.23 91.23 104.46°
With the nearest neighbours (Å) after each atom.
Fractional coordinates of all 14 atoms:
Pr  0.1805  0.8195  0.0000  6 In 3.23-3.31
Pr  0.2377  0.7623  0.5000  6 In 3.32-3.42, 4 Tm 3.40-3.48
Pr  0.4027  0.4027  0.1813  5 In 3.34-3.61, 1 Tm 3.70
Pr  0.5973  0.5973  0.8187  5 In 3.34-3.61, 1 Tm 3.70
Pr  0.7623  0.2377  0.5000  6 In 3.32-3.42, 4 Tm 3.40-3.48
Pr  0.8195  0.1805  0.0000  6 In 3.23-3.31
Tm  0.2801  0.2801  0.5396  4 In 3.14-3.35, 4 Pr 3.40-3.48
Tm  0.7199  0.7199  0.4604  4 In 3.14-3.35, 4 Pr 3.40-3.48
In  0.0208  0.0208  0.2712  2 Tm 3.18-3.35, 5 Pr 3.30-3.42, 2 In 3.30
In  0.0552  0.4762  0.7599  1 Tm 3.14, 5 Pr 3.23-3.48, 1 In 3.30
In  0.4762  0.0552  0.7599  1 Tm 3.14, 5 Pr 3.23-3.48, 1 In 3.30
In  0.5238  0.9448  0.2401  1 Tm 3.14, 5 Pr 3.23-3.48, 1 In 3.30
In  0.9448  0.5238  0.2401  1 Tm 3.14, 5 Pr 3.23-3.48, 1 In 3.30
In  0.9792  0.9792  0.7288  2 Tm 3.18-3.35, 5 Pr 3.30-3.42, 2 In 3.30

Calculated values
* calculated formation energy: -0.282 eV per atom
* SG: C2/m (12)



# 4
Computed, not measured: an optimized crystal structure of Na2InBi6 at the PBE-GGA level of DFT.

Cell: 6.7384 6.7384 6.4180 Å, 95.12 95.12 98.46°
With the nearest neighbours (Å) after each atom.
Fractional coordinates of all 9 atoms:
Na  0.1699  0.1699  0.1700  1 In 3.35, 1 Na 3.45, 8 Bi 3.59-3.65
Na  0.8301  0.8301  0.8300  1 In 3.35, 1 Na 3.45, 8 Bi 3.59-3.65
In  0.5000  0.5000  0.5000  2 Na 3.35, 8 Bi 3.62-3.66
Bi  0.0061  0.3232  0.6704  5 Bi 3.24-3.39, 2 Na 3.59-3.60
Bi  0.3232  0.0061  0.6704  5 Bi 3.24-3.39, 2 Na 3.59-3.60
Bi  0.3362  0.6638  0.0000  5 Bi 3.27-3.39, 2 In 3.62, 2 Na 3.65
Bi  0.6638  0.3362  0.0000  5 Bi 3.27-3.39, 2 In 3.62, 2 Na 3.65
Bi  0.6768  0.9939  0.3296  5 Bi 3.24-3.39, 2 Na 3.59-3.60
Bi  0.9939  0.6768  0.3296  5 Bi 3.24-3.39, 2 Na 3.59-3.60

Calculated values
* calculated formation energy: -0.098 eV per atom
* SG: C2/m (12)



# 5
Computed, not measured: an optimized crystal structure of InRhBr2 at the PBE-GGA level of DFT.

Cell: 9.0356 9.0356 9.0356 Å, 23.78 23.78 23.78°
With the nearest neighbours (Å) after each atom.
Fractional coordinates of all 4 atoms:
In  0.0000  0.0000  0.0000  3 Rh 2.82, 3 Br 2.90
Rh  0.2643  0.2643  0.2643  3 Br 2.60, 3 In 2.82
Br  0.5424  0.5424  0.5424  3 Rh 2.60
Br  0.7405  0.7405  0.7405  3 In 2.90

Calculated values
* SG: R3m (160)
* energy relative to the elements, uncorrected: -0.211 eV/atom



# 6
Computed, not measured: an optimized crystal structure of InPdPb2 at the PBE-GGA level of DFT.

Cell: 11.6860 11.6860 11.6860 Å, 16.14 16.14 16.14°
With the nearest neighbours (Å) after each atom.
Fractional coordinates of all 4 atoms:
In  0.0000  0.0000  0.0000  6 In 3.28, 6 Pb 3.60
Pd  0.5000  0.5000  0.5000  2 Pb 2.71
Pb  0.4217  0.4217  0.4217  1 Pd 2.71
Pb  0.5783  0.5783  0.5783  1 Pd 2.71

Calculated values
* calculated formation energy: 0.160 eV per atom
* SG: R-3m (166)



# 7
Computed, not measured: an optimized crystal structure of Tm6MgCo at the PBE-GGA level of DFT.

Cell: 7.2003 7.2003 7.2003 Å, 55.90 55.90 55.90°
With the nearest neighbours (Å) after each atom.
Fractional coordinates of all 8 atoms:
Tm  0.0205  0.8045  0.4147  1 Co 2.54
Tm  0.1955  0.5853  0.9795  1 Co 2.54
Tm  0.4147  0.0205  0.8045  1 Co 2.54
Tm  0.5853  0.9795  0.1955  1 Co 2.54
Tm  0.8045  0.4147  0.0205  1 Co 2.54
Tm  0.9795  0.1955  0.5853  1 Co 2.54
Mg  0.5000  0.5000  0.5000  6 Tm 3.08
Co  0.0000  0.0000  0.0000  6 Tm 2.54

Calculated values
* calculated formation energy: 0.153 eV per atom
* SG: R-3 (148)



# 8
Computed, not measured: an optimized crystal structure of SiPtRh2 at the PBE-GGA level of DFT.

Cell: 5.3291 5.3291 2.7545 Å, 104.80 104.80 120.44°
With the nearest neighbours (Å) after each atom.
Fractional coordinates of all 4 atoms:
Si  0.0000  0.0000  0.0000  4 Pt 2.65-2.66, 4 Rh 2.67, 2 Si 2.75
Pt  0.5000  0.5000  0.0000  4 Si 2.65-2.66, 4 Rh 2.67, 2 Pt 2.75
Rh  0.0000  0.5000  0.5000  6 Rh 2.65-2.75, 2 Pt 2.67, 2 Si 2.67
Rh  0.5000  0.0000  0.5000  6 Rh 2.65-2.75, 2 Pt 2.67, 2 Si 2.67

Calculated values
* SG: C2/m (12)
* energy relative to the elements, uncorrected: -0.156 eV/atom



Results for D(E_F): 0.6; 3.4; 7.6; 4.6; 2.0; 1.6; 11.3; 4.0 (in states/eV/f.u., following the order of the records).